Density functional theory data (GGA+U) for an optimized crystal structure of Eu2Co2O5.

```
Eu2Co2O5
1.0
-7.788 2.831 2.694
7.788 -2.831 2.694
7.788 2.831 -2.694
Eu Co O
4 4 10
direct
0.019 0.109 0.128 Eu
0.019 0.391 0.409 Eu
0.981 0.609 0.591 Eu
0.981 0.891 0.872 Eu
0.410 0.717 0.193 Co
0.505 0.005 0.500 Co
0.505 0.505 0.000 Co
0.524 0.217 0.807 Co
0.006 0.266 0.766 O
0.006 0.740 0.241 O
0.221 0.852 0.869 O
0.463 0.174 0.576 O
0.463 0.387 0.788 O
0.500 0.240 0.234 O
0.500 0.766 0.759 O
0.598 0.674 0.212 O
0.598 0.887 0.424 O
0.983 0.352 0.131 O
```

Results
**Total magnetic moment**: 13.17 μB/cell
**Energy above the most stable polymorph in this dataset**: 0.0 kJ/mol of atoms